LaTbMg17 | GGA-PBE | optimized geometry

Calculated values
Symmetry: R3m, No. 160
Energy of formation from the pure elements (eV per formula unit): -0.9
Magnetization (μB per formula unit): 0.0

a b c (Å): 7.8170 7.8170 7.8170
angles (deg): 82.25 82.25 82.25
Sites, in units of the cell vectors:
Mg1 0.6975 0.3008 0.0018
Mg2 0.6453 0.1663 0.6453
Mg3 0.5022 0.9975 0.9975
Tb1 0.3288 0.3288 0.3288
La1 0.6684 0.6684 0.6684
Mg4 0.6453 0.6453 0.1663
Mg5 0.8466 0.3499 0.3499
Mg6 0.9975 0.9975 0.5022
Mg7 0.0018 0.3008 0.6975
Mg8 0.3499 0.3499 0.8466
Mg9 0.1663 0.6453 0.6453
Mg10 0.9022 0.9022 0.9022
Mg11 0.9975 0.5022 0.9975
Mg12 0.3499 0.8466 0.3499
Mg13 0.6975 0.0018 0.3008
Mg14 0.3008 0.6975 0.0018
Mg15 0.0018 0.6975 0.3008
Mg16 0.1000 0.1000 0.1000
Mg17 0.3008 0.0018 0.6975

La3Tb6Mg | GGA-PBE | optimized geometry

Calculated values
Symmetry: R-3, No. 148
Energy of formation from the pure elements (eV per formula unit): 1.9
ΔE to the lowest computed polymorph (meV per atom): 56
Magnetization (μB per formula unit): 0.0

a b c (Å): 10.4748 10.4748 10.4748
angles (deg): 52.41 52.41 52.41
Sites, in units of the cell vectors:
Tb1 0.1335 0.8888 0.3002
Tb2 0.5886 0.7017 0.0292
La1 0.1580 0.2653 0.5791
Tb3 0.2983 0.9708 0.4114
Tb4 0.8888 0.3002 0.1335
La2 0.8420 0.7347 0.4209
Tb5 0.1112 0.6998 0.8665
La3 0.4209 0.8420 0.7347
Mg1 0.5000 0.5000 0.5000
Tb6 0.8665 0.1112 0.6998
Tb7 0.3002 0.1335 0.8888
Tb8 0.6998 0.8665 0.1112
Tb9 0.9708 0.4114 0.2983
Tb10 0.0292 0.5886 0.7017
La4 0.2653 0.5791 0.1580
Tb11 0.4114 0.2983 0.9708
Mg2 0.0000 0.0000 0.0000
Tb12 0.7017 0.0292 0.5886
La5 0.5791 0.1580 0.2653
La6 0.7347 0.4209 0.8420

La2Tb3Mg | GGA-PBE | optimized geometry

Calculated values
Symmetry: C2/c, No. 15
Energy of formation from the pure elements (eV per formula unit): 0.7
ΔE to the lowest computed polymorph (meV per atom): 0
Magnetization (μB per formula unit): 0.0

a b c (Å): 7.7394 7.7394 10.0223
angles (deg): 99.19 137.78 80.46
Sites, in units of the cell vectors:
La1 0.2819 0.3971 0.2085
La2 0.7181 0.6029 0.7915
La3 0.3114 0.9266 0.7085
Tb1 0.2016 0.9516 0.2500
Tb2 0.7863 0.6714 0.4893
Mg1 0.9314 0.6814 0.2500
La4 0.6886 0.0734 0.2915
Tb3 0.7984 0.0484 0.7500
Tb4 0.3179 0.7030 0.9893
Tb5 0.2137 0.3286 0.5107
Mg2 0.0686 0.3186 0.7500
Tb6 0.6821 0.2970 0.0107

La2Tb6Mg | GGA-PBE | optimized geometry

Calculated values
Symmetry: C2/m, No. 12
Energy of formation from the pure elements (eV per formula unit): 0.7
ΔE to the lowest computed polymorph (meV per atom): 54
Magnetization (μB per formula unit): 0.0

a b c (Å): 5.5708 6.7592 8.8871
angles (deg): 69.10 108.27 90.00
Sites, in units of the cell vectors:
La1 0.3881 0.1478 0.7762
Tb1 0.1742 0.4462 0.3483
Tb2 0.2505 0.8598 0.5010
Tb3 0.8258 0.5538 0.6517
Tb4 0.7495 0.1402 0.4990
Tb5 0.9701 0.7889 0.9402
La2 0.6119 0.8522 0.2238
Mg1 0.5000 0.5000 0.0000
Tb6 0.0299 0.2111 0.0598

La5Tb6Mg | GGA-PBE | optimized geometry

Calculated values
Symmetry: Immm, No. 71
Energy of formation from the pure elements (eV per formula unit): 0.4
Magnetization (μB per formula unit): 0.0

a b c (Å): 5.1787 9.5265 9.5265
angles (deg): 106.49 105.78 105.78
Sites, in units of the cell vectors:
Tb1 0.7518 0.9163 0.5873
Tb2 0.2482 0.0837 0.4127
La1 0.0000 0.6679 0.3321
Mg1 0.0000 0.0000 0.0000
La2 0.5000 0.1663 0.8337
La3 0.5000 0.5000 0.5000
Tb3 0.2482 0.4127 0.0837
Tb4 0.7526 0.2525 0.2525
La4 0.0000 0.3321 0.6679
Tb5 0.7518 0.5873 0.9163
Tb6 0.2474 0.7475 0.7475
La5 0.5000 0.8337 0.1663

La2Tb3Mg2 | GGA-PBE | optimized geometry

Calculated values
Symmetry: Cmmm, No. 65
Energy of formation from the pure elements (eV per formula unit): 0.1
Magnetization (μB per formula unit): 0.0

a b c (Å): 3.5800 3.5506 17.3431
angles (deg): 90.00 95.92 90.00
Sites, in units of the cell vectors:
La1 0.2944 0.5000 0.5888
Tb1 0.4282 0.5000 0.8564
Mg1 0.1361 0.0000 0.2722
Tb2 0.5718 0.5000 0.1436
Tb3 0.0000 0.0000 0.0000
La2 0.7056 0.5000 0.4112
Mg2 0.8639 0.0000 0.7278

La2Tb3Mg | GGA-PBE | optimized geometry

Calculated values
Symmetry: Imm2, No. 44
Energy of formation from the pure elements (eV per formula unit): 1.9
ΔE to the lowest computed polymorph (meV per atom): 203
Magnetization (μB per formula unit): 0.0

a b c (Å): 6.4749 5.8652 6.7365
angles (deg): 115.81 118.72 90.00
Sites, in units of the cell vectors:
La1 0.8432 0.4614 0.6863
Mg1 0.5000 0.1319 0.0000
Tb1 0.6608 0.7898 0.3216
La2 0.1568 0.7751 0.3137
Tb2 0.0000 0.1165 0.0000
Tb3 0.3392 0.4682 0.6784

La8TbMg2 | GGA-PBE | optimized geometry

Calculated values
Symmetry: C2/m, No. 12
Energy of formation from the pure elements (eV per formula unit): 0.0
Magnetization (μB per formula unit): 0.0

a b c (Å): 5.2755 8.4147 9.4089
angles (deg): 108.68 106.28 90.00
Sites, in units of the cell vectors:
La1 0.3146 0.0594 0.6293
Mg1 0.2263 0.6319 0.4527
Tb1 0.5000 0.0000 0.0000
La2 0.1401 0.1929 0.2802
La3 0.4043 0.5386 0.8087
La4 0.8599 0.8071 0.7198
Mg2 0.7737 0.3681 0.5473
La5 0.0494 0.7351 0.0988
La6 0.9506 0.2649 0.9012
La7 0.5957 0.4614 0.1913
La8 0.6854 0.9406 0.3707

La8Tb3Mg2 | GGA-PBE | optimized geometry

Calculated values
Symmetry: C2/m, No. 12
Energy of formation from the pure elements (eV per formula unit): 1.2
Magnetization (μB per formula unit): 0.0

a b c (Å): 6.0910 11.5570 8.9446
angles (deg): 130.24 72.73 90.00
Sites, in units of the cell vectors:
La1 0.3378 0.4013 0.3398
La2 0.2742 0.5883 0.1766
Tb1 0.0000 0.2749 0.0000
La3 0.3378 0.9385 0.3398
Mg1 0.3032 0.3240 0.6480
Tb2 0.0000 0.7251 0.0000
La4 0.1090 0.8574 0.7147
Mg2 0.6968 0.6760 0.3520
La5 0.8910 0.1426 0.2853
Tb3 0.5000 0.0000 0.0000
La6 0.6622 0.5987 0.6602
La7 0.6622 0.0615 0.6602
La8 0.7258 0.4117 0.8234

LaTb3Mg | GGA-PBE | optimized geometry

Calculated values
Symmetry: C2/c, No. 15
Energy of formation from the pure elements (eV per formula unit): 0.2
ΔE to the lowest computed polymorph (meV per atom): 51
Magnetization (μB per formula unit): 0.0

a b c (Å): 6.5271 10.0226 10.0226
angles (deg): 81.35 79.39 79.39
Sites, in units of the cell vectors:
Tb1 0.4684 0.2063 0.5958
Tb2 0.5316 0.7937 0.4042
La1 0.0314 0.6746 0.5245
La2 0.5314 0.5245 0.6746
Tb3 0.9684 0.5958 0.2063
Tb4 0.8567 0.2753 0.1273
Tb5 0.3567 0.1273 0.2753
Tb6 0.6383 0.6243 0.9928
Tb7 0.8617 0.0072 0.3757
Mg1 0.2500 0.0786 0.9214
Tb8 0.1383 0.9928 0.6243
Tb9 0.3617 0.3757 0.0072
Mg2 0.7500 0.1592 0.8408
La3 0.4686 0.4755 0.3254
Tb10 0.0316 0.4042 0.7937
Tb11 0.1433 0.7247 0.8727
La4 0.9686 0.3254 0.4755
Mg3 0.2500 0.8408 0.1592
Tb12 0.6433 0.8727 0.7247
Mg4 0.7500 0.9214 0.0786